P | This record from Alexandria via LeMat-Bulk describes crystalline ZnW2Br at its relaxed geometry. The functional is GGA-PBE.

abc: 2.827 2.827 8.363
angles: 90.00 90.00 90.00
Fractional coordinates of all 4 atoms:
W  0.000  0.000  0.012
W  0.000  0.000  0.488
Br  0.500  0.500  0.750
Zn  0.500  0.500  0.250

D(E_F) = 2.83 states/eV/cell
space-group type = P4/mmm, No. 123

Q | This record from Alexandria via LeMat-Bulk describes crystalline ZnW2Br at its relaxed geometry. The functional is GGA-PBE.

abc: 3.274 3.273 6.724
angles: 90.00 90.00 90.00
Fractional coordinates of all 4 atoms:
W  0.000  0.000  0.432
W  0.000  0.000  0.068
Br  0.500  0.500  0.750
Zn  0.500  0.500  0.250

D(E_F) = 2.48 states/eV/cell
space-group type = P4/mmm, No. 123

Result of the stability comparison: P is the least stable of them.